Material: Tb3SmAs4
Method: DFT, PBE
State: relaxed

Its formation energy from the elements is -12.31 eV/f.u. Its magnetic moment is 0.0 μB/f.u. For the total DFT energy (no corrections), the calculation gives -6.19 eV per atom. As for the symmetry: Pm-3m.

a b c (Å): 5.8774 5.8774 5.8774
angles (deg): 90.00 90.00 90.00
Atoms (fractional coordinates):
Tb (0.0000, 0.5000, 0.5000)
Tb (0.5000, 0.5000, 0.0000)
Tb (0.5000, 0.0000, 0.5000)
As (0.0000, 0.0000, 0.5000)
As (0.5000, 0.5000, 0.5000)
As (0.5000, 0.0000, 0.0000)
As (0.0000, 0.5000, 0.0000)
Sm (0.0000, 0.0000, 0.0000)

Material: TbSmAs2
Method: DFT, PBE
State: relaxed

Its formation energy from the elements is -6.13 eV/f.u. Its magnetic moment is 0.0 μB/f.u. For the total DFT energy (no corrections), the calculation gives -6.20 eV per atom. As for the symmetry: R-3m. Its polymorph energy (0 for the lowest one) is 0.000 eV per atom.

a b c (Å): 4.1794 4.1794 7.2300
angles (deg): 89.98 106.81 120.01
Atoms (fractional coordinates):
Tb (0.0000, 0.0000, 0.0000)
As (0.5031, 0.2516, 0.7547)
As (0.4969, 0.7484, 0.2453)
Sm (0.0000, 0.5000, 0.5000)

Material: TbSm5As6
Method: DFT, PBE
State: relaxed

Its formation energy from the elements is -18.36 eV/f.u. Its magnetic moment is 0.0 μB/f.u. For the total DFT energy (no corrections), the calculation gives -6.21 eV per atom. As for the symmetry: C2/m.

a b c (Å): 7.2787 7.2813 7.2791
angles (deg): 59.99 80.40 70.52
Atoms (fractional coordinates):
Sm (0.5000, 0.5000, 0.0000)
Sm (0.5000, 0.8328, 0.3344)
Sm (0.0000, 0.6665, 0.6670)
Sm (0.5000, 0.1672, 0.6656)
Sm (0.0000, 0.3335, 0.3330)
As (0.2487, 0.2480, 0.0000)
As (0.2483, 0.5864, 0.3309)
As (0.7517, 0.0827, 0.3309)
As (0.7517, 0.4136, 0.6691)
As (0.7513, 0.7520, 0.0000)
As (0.2483, 0.9173, 0.6691)
Tb (0.0000, 0.0000, 0.0000)

Material: TbSmAs
Method: DFT, PBE
State: relaxed

Its formation energy from the elements is -2.42 eV/f.u. Its magnetic moment is 0.0 μB/f.u. For the total DFT energy (no corrections), the calculation gives -5.47 eV per atom. As for the symmetry: P4/mmm.

a b c (Å): 5.7070 5.7070 5.7461
angles (deg): 90.00 90.00 90.03
Atoms (fractional coordinates):
Sm (0.0032, 0.5032, 0.0003)
Sm (0.5032, 0.0032, 0.9997)
As (0.5031, 0.0031, 0.4996)
As (0.0031, 0.5031, 0.5004)
Tb (0.5031, 0.5031, 0.5000)
Tb (0.0031, 0.0031, 0.5000)

Material: TbSmAs
Method: DFT, PBE
State: relaxed

Its formation energy from the elements is -2.57 eV/f.u. Its magnetic moment is 1.0 μB/f.u. For the total DFT energy (no corrections), the calculation gives -5.52 eV per atom. As for the symmetry: P3m1.

a b c (Å): 6.5905 4.0120 4.0120
angles (deg): 120.00 90.00 90.00
Atoms (fractional coordinates):
Tb (0.2577, 0.3333, 0.6667)
As (0.0039, 0.0000, 0.0000)
Sm (0.7384, 0.6667, 0.3333)

Material: Tb5SmAs6
Method: DFT, PBE
State: relaxed

Its formation energy from the elements is -18.47 eV/f.u. Its magnetic moment is 0.0 μB/f.u. For the total DFT energy (no corrections), the calculation gives -6.19 eV per atom. As for the symmetry: C2/m.

a b c (Å): 7.1907 7.1933 7.1914
angles (deg): 59.99 80.40 70.51
Atoms (fractional coordinates):
As (0.2517, 0.9160, 0.6642)
As (0.2512, 0.2522, 0.0000)
As (0.2517, 0.5803, 0.3358)
As (0.7483, 0.0840, 0.3358)
As (0.7483, 0.4197, 0.6642)
As (0.7488, 0.7478, 0.0000)
Tb (0.5000, 0.1660, 0.6680)
Tb (0.5000, 0.5000, 0.0000)
Tb (0.0000, 0.6669, 0.6663)
Tb (0.0000, 0.3332, 0.3337)
Tb (0.5000, 0.8340, 0.3320)
Sm (0.0000, 0.0000, 0.0000)